{"formula": "ZrMn4Tc", "functional": "PBEsol", "state": "optimized geometry", "lattice": [[4.744, 0.000, 0.000], [2.372, 4.108, 0.000], [2.372, 1.369, 3.873]], "species": ["Mn", "Mn", "Mn", "Mn", "Zr", "Tc"], "frac_coords": [[0.373, 0.880, 0.373], [0.373, 0.373, 0.880], [0.880, 0.373, 0.373], [0.373, 0.373, 0.373], [0.000, 0.000, 0.000], [0.750, 0.750, 0.750]], "final_energy_ev_per_atom": -9.96}

{"formula": "Zr2MnTc", "functional": "PBEsol", "state": "optimized geometry", "lattice": [[3.207, 0.000, 0.000], [0.000, 3.207, 0.000], [0.000, 0.000, 6.397]], "species": ["Mn", "Tc", "Zr", "Zr"], "frac_coords": [[0.500, 0.500, 0.000], [0.500, 0.500, 0.500], [0.000, 0.000, 0.753], [0.000, 0.000, 0.247]], "final_energy_ev_per_atom": -9.98}

{"formula": "ZrMnTc2", "functional": "PBEsol", "state": "optimized geometry", "lattice": [[-0.666, 0.368, -2.653], [3.226, -2.580, -1.168], [-2.867, -4.119, 1.180]], "species": ["Zr", "Tc", "Tc", "Mn"], "frac_coords": [[0.510, 0.000, 0.506], [0.752, 0.500, 0.226], [0.015, 0.000, 0.006], [0.223, 0.500, 0.763]], "final_energy_ev_per_atom": -10.26}

{"formula": "ZrMnTc2", "functional": "PBEsol", "state": "optimized geometry", "lattice": [[2.802, 0.000, 0.000], [1.401, 2.426, 0.000], [1.401, 0.809, 9.034]], "species": ["Zr", "Mn", "Tc", "Tc"], "frac_coords": [[0.502, 0.502, 0.494], [0.256, 0.256, 0.231], [0.742, 0.742, 0.775], [0.000, 0.000, 0.000]], "final_energy_ev_per_atom": -10.05}

{"formula": "Mn3Te", "functional": "PBEsol", "state": "optimized geometry", "lattice": [[3.239, 0.000, 0.000], [0.000, 3.239, 0.000], [0.000, 0.000, 5.294]], "species": ["Mn", "Mn", "Mn", "Te"], "frac_coords": [[0.000, 0.000, 0.222], [0.500, 0.500, 0.000], [0.000, 0.000, 0.778], [0.500, 0.500, 0.500]], "e_form_raw_ev_per_atom": 0.398}

{"formula": "MnTe2", "functional": "PBEsol", "state": "optimized geometry", "lattice": [[3.151, 0.000, 0.000], [0.000, 3.151, 0.000], [-1.576, -1.576, 13.718]], "species": ["Mn", "Mn", "Te", "Te", "Te", "Te"], "frac_coords": [[0.500, 0.500, 0.000], [0.750, 0.250, 0.500], [0.942, 0.942, 0.885], [0.192, 0.692, 0.385], [0.058, 0.058, 0.115], [0.308, 0.808, 0.615]], "e_form_raw_ev_per_atom": 0.143}

{"formula": "MnTe2", "functional": "PBEsol", "state": "optimized geometry", "lattice": [[-3.519, -1.035, -0.941], [-0.514, -2.696, 4.884], [-0.690, 6.216, 3.358]], "species": ["Mn", "Mn", "Te", "Te", "Te", "Te"], "frac_coords": [[0.322, 0.250, 0.644], [0.678, 0.750, 0.356], [0.047, 0.750, 0.093], [0.315, 0.750, 0.631], [0.685, 0.250, 0.369], [0.953, 0.250, 0.907]], "e_form_raw_ev_per_atom": -0.076}

{"formula": "MnTe", "functional": "PBEsol", "state": "optimized geometry", "lattice": [[4.117, 0.000, 0.000], [-2.059, 3.566, 0.000], [0.000, 0.000, 5.652]], "species": ["Mn", "Mn", "Te", "Te"], "frac_coords": [[0.000, 0.000, 0.000], [0.000, 0.000, 0.500], [0.333, 0.667, 0.750], [0.667, 0.333, 0.250]], "e_form_raw_ev_per_atom": 0.029}